No. 1
Compound: KBi
Source: Alexandria via LeMat-Bulk
Functional: SCAN
Structure: PBEsol geometry

Cell: 7.2797 13.3604 14.1813 Å, 113.58 90.00 90.00°
Positions (direct):
K: 0.7974 0.5377 0.3985
K: 0.2974 0.9623 0.6015
K: 0.3698 0.9432 0.1556
K: 0.5705 0.6951 0.6563
K: 0.1296 0.8597 0.8840
K: 0.6302 0.0568 0.8444
K: 0.9295 0.1951 0.6563
K: 0.8698 0.5568 0.8444
K: 0.8704 0.1403 0.1160
K: 0.2026 0.4623 0.6015
K: 0.3704 0.3597 0.8840
K: 0.6296 0.6403 0.1160
K: 0.0705 0.8049 0.3437
K: 0.1302 0.4432 0.1556
K: 0.7026 0.0377 0.3985
K: 0.4295 0.3049 0.3437
Bi: 0.3866 0.6315 0.8847
Bi: 0.2935 0.6103 0.4224
Bi: 0.3559 0.1759 0.0700
Bi: 0.8559 0.3241 0.9300
Bi: 0.7065 0.3897 0.5776
Bi: 0.1134 0.1315 0.8847
Bi: 0.6134 0.3685 0.1153
Bi: 0.8866 0.8685 0.1153
Bi: 0.5615 0.7698 0.3888
Bi: 0.0615 0.7302 0.6112
Bi: 0.7935 0.8897 0.5776
Bi: 0.1441 0.6759 0.0700
Bi: 0.6441 0.8241 0.9300
Bi: 0.9385 0.2698 0.3888
Bi: 0.2065 0.1103 0.4224
Bi: 0.4385 0.2302 0.6112

Calculated values
Crystal system ... monoclinic
ρ ... 5.2 g/cm³
Energy of formation ... -0.43 eV/atom
Space group ... P2_1/c, No. 14

No. 2
Compound: Sr2CdHg
Source: Alexandria via LeMat-Bulk
Functional: SCAN
Structure: PBEsol geometry

Cell: 4.7744 4.7744 6.3915 Å, 111.93 111.93 90.00°
Positions (direct):
Sr: 0.7500 0.2500 0.5000
Sr: 0.0000 0.0000 0.0000
Cd: 0.5000 0.5000 0.0000
Hg: 0.2500 0.7500 0.5000

Calculated values
Crystal system ... tetragonal
ρ ... 6.6 g/cm³
Energy of formation ... -0.33 eV/atom
Space group ... I-4m2, No. 119

No. 3
Compound: BeCrF3
Source: Alexandria via LeMat-Bulk
Functional: SCAN
Structure: PBEsol geometry

Cell: 3.6039 3.6039 3.6039 Å, 90.00 90.00 90.00°
Positions (direct):
F: 0.0000 0.0000 0.5000
F: 0.5000 0.0000 0.0000
F: 0.0000 0.5000 0.0000
Cr: 0.5000 0.5000 0.5000
Be: 0.0000 0.0000 0.0000

Calculated values
Crystal system ... cubic
Formation energy (no corrections) ... -2.2634 eV per atom
ρ ... 4.2 g/cm³
Space group ... Pm-3m, No. 221

No. 4
Compound: TaNiSeO2
Source: Alexandria via LeMat-Bulk
Functional: SCAN
Structure: PBEsol geometry

Cell: 3.8078 3.8078 4.4953 Å, 90.00 90.00 90.00°
Positions (direct):
O: 0.0000 0.5000 0.0000
O: 0.5000 0.0000 0.0000
Ta: 0.5000 0.5000 0.5000
Se: 0.0000 0.0000 0.0000
Ni: 0.0000 0.0000 0.5000

Calculated values
Crystal system ... tetragonal
Formation energy (no corrections) ... 0.4589 eV per atom
ρ ... 8.9 g/cm³
Space group ... P4/mmm, No. 123

No. 5
Compound: ZrCl2F
Source: Alexandria via LeMat-Bulk
Functional: SCAN
Structure: PBEsol geometry

Cell: 4.1675 6.8821 6.8821 Å, 84.74 72.38 72.38°
Positions (direct):
Zr: 0.7500 0.5000 0.5000
Zr: 0.0000 0.0000 0.0000
F: 0.5000 0.0000 0.0000
F: 0.2500 0.5000 0.5000
Cl: 0.7812 0.3438 0.8438
Cl: 0.3750 0.8438 0.6562
Cl: 0.9688 0.6562 0.1562
Cl: 0.8750 0.1562 0.3438

Calculated values
Crystal system ... tetragonal
Formation energy (no corrections) ... -2.4178 eV per atom
ρ ... 3.4 g/cm³
Space group ... I-42d, No. 122

No. 6
Compound: TiZnTc3
Source: Alexandria via LeMat-Bulk
Functional: SCAN
Structure: PBEsol geometry

Cell: 4.4369 4.4369 4.4369 Å, 90.00 90.00 90.00°
Positions (direct):
Tc: 0.0000 0.0000 0.5000
Tc: 0.0000 0.5000 0.0000
Tc: 0.5000 0.0000 0.0000
Zn: 0.5000 0.5000 0.5000
Ti: 0.0000 0.0000 0.0000

Calculated values
Crystal system ... cubic
ρ ... 7.7 g/cm³
Energy of formation ... 1.43 eV/atom
Space group ... Pm-3m, No. 221

> Which formula does entry 5 have?

ZrCl2F

> What is the ρ in the fifth record?

3.4 g/cm³

> Which value of ρ does entry 3 give?

4.2 g/cm³